[1]
# ReMoIr2

A relaxed structure of ReMoIr2 (GGA-PBE, Alexandria via LeMat-Bulk).

Total magnetization ... 0.00 μB/f.u.
N(E_F) ... 0.832 states/eV/atom
ΔE_f ... -223 meV per atom
Space-group type ... No. 47
Polymorph energy (0 for the lowest one) ... 107 meV/atom

Cell: 2.743 3.933 5.500 Å, 90.00 90.00 90.00°
Atoms (fractional coordinates):
Re (0.000, 0.000, 0.000)
Mo (0.000, 0.000, 0.500)
Ir (0.500, 0.500, 0.247)
Ir (0.500, 0.500, 0.753)

---

[2]
# TaAl2Te6

A relaxed structure of TaAl2Te6 (GGA-PBE, Alexandria via LeMat-Bulk).

Total magnetization ... 0.00 μB/f.u.
N(E_F) ... 0.393 states/eV/atom
Space-group type ... No. 15
Formation energy without anion corrections ... -0.229 eV/atom

Cell: 9.055 9.055 7.458 Å, 96.01 96.01 83.74°
Atoms (fractional coordinates):
Ta (0.110, 0.890, 0.750)
Ta (0.890, 0.110, 0.250)
Al (0.237, 0.376, 0.625)
Al (0.376, 0.237, 0.125)
Al (0.624, 0.763, 0.875)
Al (0.763, 0.624, 0.375)
Te (0.041, 0.171, 0.592)
Te (0.104, 0.607, 0.824)
Te (0.171, 0.041, 0.092)
Te (0.267, 0.477, 0.314)
Te (0.393, 0.896, 0.676)
Te (0.477, 0.267, 0.814)
Te (0.523, 0.733, 0.186)
Te (0.607, 0.104, 0.324)
Te (0.733, 0.523, 0.686)
Te (0.829, 0.959, 0.908)
Te (0.896, 0.393, 0.176)
Te (0.959, 0.829, 0.408)

---

[3]
# AsS2BrN

A relaxed structure of AsS2BrN (GGA-PBE, Alexandria via LeMat-Bulk).

Total magnetization ... 0.00 μB/f.u.
N(E_F) ... 1.210 states/eV/atom
Space-group type ... No. 123
Formation energy without anion corrections ... 1.142 eV/atom
Polymorph energy (0 for the lowest one) ... 0 meV/atom

Cell: 4.955 4.955 3.692 Å, 90.00 90.00 90.00°
Atoms (fractional coordinates):
As (0.000, 0.000, 0.000)
S (0.000, 0.500, 0.000)
S (0.500, 0.000, 0.000)
Br (0.500, 0.500, 0.500)
N (0.000, 0.000, 0.500)

---

[4]
# YAgGeO4

A relaxed structure of YAgGeO4 (GGA-PBE, Alexandria via LeMat-Bulk).

Total magnetization ... 0.00 μB/f.u.
Space-group type ... No. 74
Formation energy without anion corrections ... -1.918 eV/atom

Cell: 6.434 6.434 6.434 Å, 124.22 113.29 92.42°
Atoms (fractional coordinates):
Y (0.000, 0.000, 0.000)
Y (0.500, 0.000, 0.500)
Ag (0.500, 0.000, 0.000)
Ag (0.500, 0.500, 0.500)
Ge (0.115, 0.365, 0.750)
Ge (0.885, 0.635, 0.250)
O (0.203, 0.745, 0.458)
O (0.212, 0.255, 0.958)
O (0.236, 0.240, 0.504)
O (0.236, 0.732, 0.996)
O (0.764, 0.268, 0.004)
O (0.764, 0.760, 0.496)
O (0.788, 0.745, 0.042)
O (0.797, 0.255, 0.542)

---

[5]
# BeB2IrO

A relaxed structure of BeB2IrO (GGA-PBE, Alexandria via LeMat-Bulk).

Total magnetization ... 0.00 μB/f.u.
N(E_F) ... 0.455 states/eV/atom
Space-group type ... No. 123
Formation energy without anion corrections ... 1.281 eV/atom

Cell: 3.368 3.368 4.454 Å, 90.00 90.00 90.00°
Atoms (fractional coordinates):
Be (0.000, 0.000, 0.000)
B (0.000, 0.500, 0.500)
B (0.500, 0.000, 0.500)
Ir (0.500, 0.500, 0.000)
O (0.500, 0.500, 0.500)

---

[6]
# La2Ni2Mo

A relaxed structure of La2Ni2Mo (GGA-PBE, Alexandria via LeMat-Bulk).

Total magnetization ... 1.59 μB/f.u.
N(E_F) ... 0.862 states/eV/atom
ΔE_f ... 105 meV per atom
Space-group type ... No. 127

Cell: 6.978 6.978 4.291 Å, 90.00 90.00 90.00°
Atoms (fractional coordinates):
La (0.180, 0.320, 0.000)
La (0.320, 0.820, 0.000)
La (0.680, 0.180, 0.000)
La (0.820, 0.680, 0.000)
Ni (0.130, 0.630, 0.500)
Ni (0.370, 0.130, 0.500)
Ni (0.630, 0.870, 0.500)
Ni (0.870, 0.370, 0.500)
Mo (0.000, 0.000, 0.500)
Mo (0.500, 0.500, 0.500)

---

[7]
# LaAlB2

A relaxed structure of LaAlB2 (GGA-PBE, Alexandria via LeMat-Bulk).

Total magnetization ... 0.00 μB/f.u.
N(E_F) ... 0.314 states/eV/atom
ΔE_f ... 163 meV per atom
Space-group type ... No. 141

Cell: 7.693 7.693 7.693 Å, 146.68 146.68 47.83°
Atoms (fractional coordinates):
La (0.375, 0.625, 0.750)
La (0.625, 0.375, 0.250)
Al (0.125, 0.875, 0.250)
Al (0.875, 0.125, 0.750)
B (0.000, 0.000, 0.000)
B (0.000, 0.000, 0.500)
B (0.000, 0.500, 0.000)
B (0.500, 0.000, 0.500)

---

[8]
# BiRu2N2

A relaxed structure of BiRu2N2 (GGA-PBE, Alexandria via LeMat-Bulk).

Total magnetization ... 0.00 μB/f.u.
N(E_F) ... 1.306 states/eV/atom
Space-group type ... No. 127
Formation energy without anion corrections ... 1.195 eV/atom
Polymorph energy (0 for the lowest one) ... 570 meV/atom

Cell: 7.032 7.032 2.865 Å, 90.00 90.00 90.00°
Atoms (fractional coordinates):
Bi (0.000, 0.000, 0.000)
Bi (0.500, 0.500, 0.000)
Ru (0.125, 0.375, 0.500)
Ru (0.375, 0.875, 0.500)
Ru (0.625, 0.125, 0.500)
Ru (0.875, 0.625, 0.500)
N (0.110, 0.610, 0.000)
N (0.390, 0.110, 0.000)
N (0.610, 0.890, 0.000)
N (0.890, 0.390, 0.000)

---

[9]
# Zn2WSe

A relaxed structure of Zn2WSe (GGA-PBE, Alexandria via LeMat-Bulk).

Total magnetization ... 0.00 μB/f.u.
N(E_F) ... 0.682 states/eV/atom
Space-group type ... No. 65
Formation energy without anion corrections ... 0.378 eV/atom

Cell: 4.893 4.893 3.069 Å, 90.00 90.00 117.95°
Atoms (fractional coordinates):
Zn (0.000, 0.500, 0.000)
Zn (0.500, 0.000, 0.000)
W (0.000, 0.000, 0.500)
Se (0.500, 0.500, 0.500)

---

[10]
# Ca2TmPaN4

A relaxed structure of Ca2TmPaN4 (GGA-PBE, Alexandria via LeMat-Bulk).

Total magnetization ... 0.00 μB/f.u.
Space-group type ... No. 10
Formation energy without anion corrections ... -1.537 eV/atom

Cell: 6.004 3.534 6.040 Å, 90.00 108.96 90.00°
Atoms (fractional coordinates):
Ca (0.000, 0.000, 0.000)
Ca (0.500, 0.500, 0.000)
Tm (0.000, 0.500, 0.500)
Pa (0.500, 0.000, 0.500)
N (0.253, 0.000, 0.717)
N (0.268, 0.500, 0.282)
N (0.732, 0.500, 0.718)
N (0.747, 0.000, 0.283)

---

[11]
# NaCuRh3

A relaxed structure of NaCuRh3 (GGA-PBE, Alexandria via LeMat-Bulk).

Total magnetization ... 2.97 μB/f.u.
N(E_F) ... 1.997 states/eV/atom
ΔE_f ... 1831 meV per atom
Space-group type ... No. 221
Polymorph energy (0 for the lowest one) ... 809 meV/atom

Cell: 4.512 4.512 4.512 Å, 90.00 90.00 90.00°
Atoms (fractional coordinates):
Na (0.000, 0.000, 0.000)
Cu (0.500, 0.500, 0.500)
Rh (0.000, 0.000, 0.500)
Rh (0.000, 0.500, 0.000)
Rh (0.500, 0.000, 0.000)

---

[12]
# HoEr4N5

A relaxed structure of HoEr4N5 (GGA-PBE, Alexandria via LeMat-Bulk).

Total magnetization ... 0.00 μB/f.u.
N(E_F) ... 0.034 states/eV/atom
Space-group type ... No. 87
Formation energy without anion corrections ... -1.777 eV/atom

Cell: 5.945 5.945 5.945 Å, 99.59 99.59 131.82°
Atoms (fractional coordinates):
Ho (0.000, 0.000, 0.000)
Er (0.200, 0.600, 0.800)
Er (0.400, 0.200, 0.600)
Er (0.600, 0.800, 0.400)
Er (0.800, 0.400, 0.200)
N (0.100, 0.301, 0.401)
N (0.301, 0.900, 0.201)
N (0.500, 0.500, 0.000)
N (0.699, 0.100, 0.799)
N (0.900, 0.699, 0.599)